No. 1
## AcTl2VF8 (PBE with a Hubbard U)

Data for AcTl2VF8 after structural relaxation.

```
12
Lattice="4.4269 0.0000 0.0000 0.0000 7.5916 0.0000 -0.5427 0.0000 6.4870" Properties=species:S:1:pos:R:3 pbc="T T T"
Ac 0.0000 0.0000 0.0000
Tl 1.9421 2.0737 3.2435
Tl 1.9421 5.5179 3.2435
V 0.0000 3.7958 0.0000
F -0.0654 2.1848 5.2864
F -0.0654 5.4068 5.2864
F 1.5523 3.7958 1.1451
F 2.0624 0.0000 1.3638
F 1.8218 0.0000 5.1232
F 2.3319 3.7958 5.3419
F 3.9496 2.1848 1.2007
F 3.9496 5.4068 1.2007
```



No. 2
## AcTl2V3F12 (PBE with a Hubbard U)

Data for AcTl2V3F12 after structural relaxation.

```
18
Lattice="3.9206 2.2636 5.6661 -3.9206 2.2636 5.6661 0.0000 -4.5271 5.6661" Properties=species:S:1:pos:R:3 pbc="T T T"
Ac 0.0000 0.0000 0.0000
Tl 0.0000 0.0000 6.5084
Tl 0.0000 0.0000 10.4899
V -3.9206 0.0000 8.4991
V -1.9603 1.1318 2.8330
V 1.9603 1.1318 2.8331
F -2.5182 -1.4539 8.9357
F 0.0000 -2.0678 4.8690
F -1.7908 1.0339 4.8690
F 0.0000 -2.9078 8.0626
F -2.5182 1.4539 8.0626
F -1.7908 -1.0339 12.1293
F 1.7908 1.0339 4.8690
F 2.5182 -1.4539 8.9358
F 0.0000 2.9078 8.9358
F 1.7908 -1.0339 12.1293
F 0.0000 2.0678 12.1293
F 2.5182 1.4539 8.0625
```



| no. | E_tot (eV per atom) | N(E_F) (states/eV/atom) |
| --- | --- | --- |
| 1 | -5.502 | 0.00 |
| 2 | -5.841 | 0.53 |